No. 1
Here is AcCeCdRu after structural relaxation from Alexandria via LeMat-Bulk. Energies are from PBE.

a = 7.4909 Å, b = 7.4909 Å, c = 7.4909 Å
α = 90.00°, β = 90.00°, γ = 90.00°
Last column: nearest neighbours and their distance in Å.
Space group F-43m (No. 216)
Asymmetric unit:
1 Ac 0.0000 0.0000 0.0000 x4  4 Cd 3.24, 4 Ru 3.24
2 Ce 0.0000 0.0000 0.5000 x4  4 Ru 3.24, 4 Cd 3.24
3 Cd 0.2500 0.2500 0.2500 x4  4 Ac 3.24, 4 Ce 3.24
4 Ru 0.2500 0.2500 0.7500 x4  4 Ac 3.24, 4 Ce 3.24

Properties
Its energy of formation is -0.0439 eV/atom.

***

No. 2
Here is LiCaTlGa after structural relaxation from Alexandria via LeMat-Bulk. Energies are from PBE.

a = 7.1770 Å, b = 7.1770 Å, c = 7.1770 Å
α = 90.00°, β = 90.00°, γ = 90.00°
Last column: nearest neighbours and their distance in Å.
Space group F-43m (No. 216)
Asymmetric unit:
1 Li 0.0000 0.0000 0.0000 x4  4 Tl 3.11, 4 Ga 3.11
2 Ca 0.0000 0.0000 0.5000 x4  4 Tl 3.11, 4 Ga 3.11
3 Tl 0.2500 0.2500 0.2500 x4  4 Li 3.11, 4 Ca 3.11
4 Ga 0.2500 0.2500 0.7500 x4  4 Li 3.11, 4 Ca 3.11

Properties
Its energy of formation is -0.2884 eV/atom.

***

No. 3
Here is Na2LiHgSb after structural relaxation from Alexandria via LeMat-Bulk. Energies are from PBE.

a = 5.9405 Å, b = 5.9405 Å, c = 5.2464 Å
α = 90.00°, β = 90.00°, γ = 90.00°
Last column: nearest neighbours and their distance in Å.
Space group P4/mmm (No. 123)
Asymmetric unit:
1 Na 0.0000 0.5000 0.0000 x2  2 Sb 2.97
2 Li 0.0000 0.0000 0.5000 x1  2 Sb 2.62
3 Hg 0.5000 0.5000 0.5000 x1  8 Na 3.96, 4 Li 4.20
4 Sb 0.0000 0.0000 0.0000 x1  2 Li 2.62

Properties
For the uncorrected formation energy, the calculation gives -6.4 kcal/mol of atoms.

***

No. 4
Here is LiIn2HgPd after structural relaxation from Alexandria via LeMat-Bulk. Energies are from PBE.

a = 5.1706 Å, b = 5.1706 Å, c = 4.8315 Å
α = 90.00°, β = 90.00°, γ = 90.00°
Last column: nearest neighbours and their distance in Å.
Space group P4/mmm (No. 123)
Asymmetric unit:
1 Li 0.0000 0.0000 0.0000 x1  2 Pd 2.42
2 In 0.0000 0.5000 0.5000 x2  2 Pd 2.59
3 Hg 0.5000 0.5000 0.0000 x1  8 In 3.54, 4 Li 3.66
4 Pd 0.0000 0.0000 0.5000 x1  2 Li 2.42, 4 In 2.59

Properties
Its energy of formation is -0.1718 eV/atom.

***

No. 5
Here is PmGe4Au12 after structural relaxation from Alexandria via LeMat-Bulk. Energies are from PBE.

a = 9.0385 Å, b = 9.0385 Å, c = 9.0385 Å
α = 90.00°, β = 90.00°, γ = 90.00°
Last column: nearest neighbours and their distance in Å.
Space group Im-3 (No. 204)
Asymmetric unit:
1 Pm 0.0000 0.0000 0.0000 x2  12 Au 3.39
2 Ge 0.2500 0.2500 0.2500 x8  6 Au 2.56
3 Au 0.0000 0.1536 0.3427 x24  2 Ge 2.56, 2 Au 2.78-2.84

Properties
Its energy of formation is 0.0078 eV/atom.

***

No. 6
Here is AcGd2Bi after structural relaxation from Alexandria via LeMat-Bulk. Energies are from PBE.

a = 4.0932 Å, b = 4.0932 Å, c = 30.5652 Å
α = 90.00°, β = 90.00°, γ = 120.00°
Last column: nearest neighbours and their distance in Å.
Space group R-3m (No. 166, hexagonal axes)
Asymmetric unit:
1 Ac 0.0000 0.0000 0.0000 x3  6 Gd 3.86, 6 Ac 4.09
2 Gd 0.0000 0.0000 0.2336 x6  3 Bi 3.13
3 Bi 0.0000 0.0000 0.5000 x3  6 Gd 3.13

Properties
Its energy of formation is -0.2501 eV/atom.

***

No. 7
Here is YBeCu2 after structural relaxation from Alexandria via LeMat-Bulk. Energies are from PBE.

a = 4.4639 Å, b = 4.4639 Å, c = 14.9438 Å
α = 90.00°, β = 90.00°, γ = 90.00°
Last column: nearest neighbours and their distance in Å.
Space group I-42d (No. 122)
Asymmetric unit:
1 Y 0.0000 0.0000 0.0000 x4  8 Cu 3.04-3.20, 4 Be 3.16
2 Be 0.0000 0.0000 0.5000 x4  4 Cu 2.18
3 Cu 0.0249 0.2500 0.6250 x8  2 Be 2.18, 2 Cu 2.24

Properties
Its energy of formation is 0.1326 eV/atom.

***

No. 8
Here is La2Co2Sb after structural relaxation from Alexandria via LeMat-Bulk. Energies are from PBE.

a = 7.2799 Å, b = 7.2799 Å, c = 4.2109 Å
α = 90.00°, β = 90.00°, γ = 90.00°
Last column: nearest neighbours and their distance in Å.
Space group P4/mbm (No. 127)
Asymmetric unit:
1 La 0.1839 0.3161 0.0000 x4  6 Co 2.99-3.05
2 Co 0.1098 0.6098 0.5000 x4  1 Co 2.26
3 Sb 0.0000 0.0000 0.5000 x2  4 Co 2.95

Properties
For the uncorrected formation energy, the calculation gives -9.5 kcal/mol of atoms.

***

| no. | total moment (Bohr magnetons per cell) |
| --- | --- |
| 1 | 1.70 |
| 2 | 0.00 |
| 3 | 0.00 |
| 4 | 0.00 |
| 5 | 0.00 |
| 6 | 43.26 |
| 7 | 0.00 |
| 8 | 2.64 |